1.
A plane-wave DFT calculation with PBE was carried out for crystalline La3SnI2 at its relaxed geometry.

a = 8.076 Å, b = 8.076 Å, c = 7.922 Å
α = 99.79°, β = 99.79°, γ = 120.02°
Atoms (fractional coordinates):
La  0.076  0.420  0.763
La  0.232  0.232  0.231
La  0.420  0.076  0.763
La  0.580  0.924  0.237
La  0.768  0.768  0.769
La  0.924  0.580  0.237
Sn  0.168  0.832  0.000
Sn  0.832  0.168  0.000
I  0.000  0.000  0.500
I  0.336  0.664  0.500
I  0.500  0.500  0.000
I  0.664  0.336  0.500

- total magnetization (μB per cell) = 0.000
- crystal system = monoclinic
- total energy (eV per atom) = -4.631
- ΔE_f (raw) (eV/f.u.) = -5.9

2.
A plane-wave DFT calculation with PBE was carried out for crystalline La4SnI5 at its relaxed geometry.

a = 10.191 Å, b = 10.191 Å, c = 9.417 Å
α = 101.37°, β = 101.37°, γ = 25.52°
Atoms (fractional coordinates):
La  0.001  0.001  0.231
La  0.341  0.341  0.930
La  0.659  0.659  0.070
La  0.999  0.999  0.769
Sn  0.500  0.500  0.000
I  0.169  0.169  0.327
I  0.169  0.169  0.817
I  0.500  0.500  0.500
I  0.831  0.831  0.183
I  0.831  0.831  0.673

- total magnetization (μB per cell) = 0.001
- crystal system = monoclinic
- total energy (eV per atom) = -4.412
- ΔE_f (raw) (eV/f.u.) = -12.7

3.
A plane-wave DFT calculation with PBE was carried out for crystalline LaSnTeI2 at its relaxed geometry.

a = 5.889 Å, b = 5.889 Å, c = 6.007 Å
α = 90.00°, β = 90.00°, γ = 90.00°
Atoms (fractional coordinates):
La  0.000  0.000  0.000
Sn  0.500  0.500  0.500
Te  0.500  0.500  0.000
I  0.000  0.500  0.500
I  0.500  0.000  0.500

- total magnetization (μB per cell) = 0.968
- crystal system = tetragonal
- total energy (eV per atom) = -3.279
- distance to the lowest polymorph of the same formula (meV per atom) = 284
- ΔE_f (raw) (eV/f.u.) = -1.2

4.
A plane-wave DFT calculation with PBE was carried out for crystalline LaSnTeI2 at its relaxed geometry.

a = 6.196 Å, b = 6.196 Å, c = 6.255 Å
α = 90.00°, β = 90.00°, γ = 90.00°
Atoms (fractional coordinates):
La  0.000  0.000  0.000
Sn  0.500  0.500  0.500
Te  0.000  0.000  0.500
I  0.000  0.500  0.000
I  0.500  0.000  0.000

- total magnetization (μB per cell) = 1.007
- crystal system = tetragonal
- total energy (eV per atom) = -3.563
- distance to the lowest polymorph of the same formula (meV per atom) = 0
- ΔE_f (raw) (eV/f.u.) = -2.6

5.
A plane-wave DFT calculation with PBE was carried out for crystalline La4SnTeI2 at its relaxed geometry.

a = 7.983 Å, b = 4.661 Å, c = 8.015 Å
α = 90.00°, β = 109.83°, γ = 90.00°
Atoms (fractional coordinates):
La  0.227  0.000  0.240
La  0.227  0.500  0.745
La  0.773  0.000  0.760
La  0.773  0.500  0.255
Sn  0.000  0.500  0.000
Te  0.000  0.000  0.500
I  0.500  0.000  0.000
I  0.500  0.500  0.500

- total magnetization (μB per cell) = 0.000
- crystal system = monoclinic
- total energy (eV per atom) = -4.886
- ΔE_f (raw) (eV/f.u.) = -9.1

6.
A plane-wave DFT calculation with PBE was carried out for crystalline La3SnTeI at its relaxed geometry.

a = 9.417 Å, b = 4.506 Å, c = 11.604 Å
α = 90.00°, β = 91.35°, γ = 90.00°
Atoms (fractional coordinates):
La  0.126  0.250  0.139
La  0.131  0.250  0.593
La  0.367  0.750  0.869
La  0.633  0.250  0.131
La  0.869  0.750  0.407
La  0.874  0.750  0.861
Sn  0.121  0.250  0.861
Sn  0.879  0.750  0.139
Te  0.380  0.750  0.151
Te  0.620  0.250  0.849
I  0.372  0.750  0.585
I  0.628  0.250  0.415

- total magnetization (μB per cell) = 2.930
- crystal system = monoclinic
- total energy (eV per atom) = -4.909
- ΔE_f (raw) (eV/f.u.) = -6.0